Below is a geometry-optimized FeHOF2 structure, with properties calculated at the PBE+U level.

Raw total energy: -4.33 eV per atom
SG: P4/mmm

Cell lengths 3.9513, 3.9513, 2.6598 Å; angles 90.00, 90.00, 90.00 degrees
With the nearest neighbours (Å) after each atom.
Element x y z (fractional)
H (0.0000, 0.0000, 0.0000)  2 O 1.33
Fe (0.5000, 0.5000, 0.5000)  8 F 2.38, 2 Fe 2.66
O (0.0000, 0.0000, 0.5000)  2 H 1.33
F (0.0000, 0.5000, 0.0000)  2 H 1.98
F (0.5000, 0.0000, 0.0000)  2 H 1.98